Record 1
Material: Zr12CoBi6
Method: DFT, GGA-PBE
State: relaxed

Computed properties:
**Formation energy**: -0.04 eV per atom
**Total energy**: -0.517 Ry/atom

Geometry as extended XYZ:
```
19
Lattice="-6.9507 -1.3413 3.8589 4.0148 -6.7911 1.6628 3.5810 5.1742 5.0405" Properties=species:S:1:pos:R:3 pbc="T T T"
Bi 3.1142 -2.9656 3.1997
Bi -2.9226 -2.5855 3.6749
Bi 3.5677 -0.3726 6.8873
Bi 0.5230 2.2743 4.8255
Bi 0.1221 -5.2324 5.7367
Bi -2.4691 0.0074 7.3625
Co 0.0000 0.0000 0.0000
Zr -1.3323 -2.5791 6.4768
Zr 0.6317 -0.0352 7.0693
Zr 1.9057 -2.9120 6.1857
Zr 0.0134 -2.9230 3.4929
Zr 2.5258 -2.2480 9.1628
Zr 1.9774 -0.3790 4.0854
Zr 0.8010 1.4161 1.8311
Zr 1.3309 -1.8576 0.8818
Zr -0.6858 -1.1005 9.6803
Zr -1.2606 -0.0461 4.3764
Zr -1.8807 -0.7102 1.3994
Zr -0.1559 -4.3742 8.7311
```

***

Record 2
Material: Cs2PrCd3F12
Method: DFT, GGA-PBE
State: relaxed

Computed properties:
**Raw formation energy**: -251.0 kJ per mole of atoms
**Total energy**: -0.321 Ry/atom

Geometry as extended XYZ:
```
18
Lattice="8.2359 0.0757 0.0537 4.1331 7.1241 0.0537 4.1331 2.4058 6.7058" Properties=species:S:1:pos:R:3 pbc="T T T"
F 7.6647 4.4615 6.1443
F 8.8374 2.3318 4.6337
F 6.1342 0.8615 0.6111
F 3.7785 2.1994 4.4305
F 7.6647 7.2738 2.1794
F 8.8374 5.1441 0.6689
F 10.1101 3.0727 2.1794
F 3.7785 4.9085 0.6111
F 12.7236 7.4062 2.3827
F 6.3920 6.5329 4.6337
F 10.3679 8.7441 6.2021
F 12.7236 4.6971 6.2021
Cs 10.1382 5.9013 4.1857
Cs 6.3639 3.7043 2.6274
Cd 2.0666 1.2029 3.3529
Cd 2.0666 3.5620 0.0268
Cd 4.1179 0.0378 0.0268
Pr 0.0000 0.0000 0.0000
```

***

Record 3
Material: Dy3AlNi
Method: DFT, GGA-PBE
State: relaxed

Computed properties:
**Formation energy**: -0.30 eV per atom
**Total energy**: -0.365 Ry/atom

Geometry as extended XYZ:
```
20
Lattice="6.4944 0.0000 0.0000 0.0000 9.5656 -0.1232 0.0000 -3.9322 7.7915" Properties=species:S:1:pos:R:3 pbc="T T T"
Dy 6.4941 6.2163 5.7545
Dy 0.0003 -0.5829 1.9138
Dy 6.4942 5.4581 2.4179
Dy 3.2470 7.3185 0.8076
Dy 3.2475 1.4335 5.8161
Dy 3.2470 4.9581 5.1887
Dy 3.2474 0.6753 2.4796
Dy 0.0002 0.1753 5.2503
Dy 3.2473 -1.6851 6.8607
Dy 6.4942 3.0977 6.7991
Dy 0.0002 2.5358 0.8692
Dy 3.2469 4.1999 1.8522
Al 4.5329 -1.9657 3.8958
Al 1.2857 2.8164 3.8341
Al 1.9615 7.5992 3.7725
Al 5.2087 2.8170 3.8342
Ni 4.5761 9.5653 -0.1231
Ni 1.9183 -3.9319 7.7914
Ni 1.3289 0.8509 7.7299
Ni 5.1655 4.7825 -0.0616
```

***

Record 4
Material: ScPdF2
Method: DFT, GGA-PBE
State: relaxed

Computed properties:
**Raw formation energy**: -156.8 kJ per mole of atoms
**Distance to the lowest polymorph of the same formula**: 34.0 kJ per mole of atoms
**Total energy**: -0.400 Ry/atom

Geometry as extended XYZ:
```
4
Lattice="0.0000 2.9758 2.9758 2.9758 0.0000 2.9758 2.9758 2.9758 0.0000" Properties=species:S:1:pos:R:3 pbc="T T T"
Sc 0.0000 0.0000 0.0000
Pd 2.9758 2.9758 2.9758
F 1.4879 1.4879 1.4879
F 4.4638 4.4638 4.4638
```

***

Record 5
Material: Sc5HgPt4
Method: DFT, GGA-PBE
State: relaxed

Computed properties:
**Formation energy**: -1.08 eV per atom
**Total energy**: -0.492 Ry/atom

Geometry as extended XYZ:
```
10
Lattice="3.2853 0.0000 0.0000 0.0000 3.2853 0.0000 0.0000 0.0000 17.3493" Properties=species:S:1:pos:R:3 pbc="T T T"
Pt 0.0000 0.0000 13.7306
Pt 0.0000 0.0000 3.6187
Pt 0.0000 0.0000 10.3625
Pt 0.0000 0.0000 6.9869
Sc 1.6426 1.6426 12.0118
Sc 1.6426 1.6426 15.3271
Sc 1.6426 1.6426 5.3375
Sc 1.6426 1.6426 8.6747
Sc 1.6426 1.6426 2.0223
Hg 0.0000 0.0000 0.0000
```

***

Record 6
Material: KLaIN2
Method: DFT, GGA-PBE
State: relaxed

Computed properties:
**Raw formation energy**: 2.5 kJ per mole of atoms
**Distance to the lowest polymorph of the same formula**: 0.0 kJ per mole of atoms
**Total energy**: -0.354 Ry/atom

Geometry as extended XYZ:
```
5
Lattice="-3.3330 -3.4475 -0.2840 1.7879 -2.0545 3.9569 -4.1817 3.7276 3.8250" Properties=species:S:1:pos:R:3 pbc="T T T"
I -2.0908 1.8638 1.9125
N 0.8940 -1.0273 1.9784
N -1.6665 -1.7238 -0.1420
La 0.0000 0.0000 0.0000
K -2.8634 -0.8872 3.7489
```

***

Record 7
Material: CdF
Method: DFT, GGA-PBE
State: relaxed

Computed properties:
**Raw formation energy**: -150.0 kJ per mole of atoms
**Total energy**: -0.217 Ry/atom

Geometry as extended XYZ:
```
12
Lattice="9.8500 0.0000 0.0000 -4.9250 8.5303 0.0000 0.0000 0.0000 3.3743" Properties=species:S:1:pos:R:3 pbc="T T T"
Cd -1.1438 8.3762 0.8436
Cd 6.6821 5.1787 2.5307
Cd 2.9009 5.3328 0.8436
Cd 2.0241 3.1975 2.5307
Cd 6.0688 0.1541 2.5307
Cd -1.7571 3.3516 0.8436
F -2.2933 7.2661 2.5307
F 7.2182 1.2642 0.8436
F 5.1460 5.6191 0.8436
F 2.4107 1.6470 0.8436
F 2.5143 6.8833 2.5307
F -0.2210 2.9112 2.5307
```

***

Record 8
Material: ZrIn2Sb
Method: DFT, GGA-PBE
State: relaxed

Computed properties:
**Raw formation energy**: 2.0 kJ per mole of atoms
**Total energy**: -0.332 Ry/atom

Geometry as extended XYZ:
```
4
Lattice="10.3848 0.0233 0.0137 9.8330 3.3400 0.0137 9.8330 1.6358 2.9121" Properties=species:S:1:pos:R:3 pbc="T T T"
In 0.1176 0.0196 0.0115
In 14.9079 2.4800 1.4582
Zr 22.5382 3.7493 2.2046
Sb 7.5127 1.2498 0.7349
```

***

Record 9
Material: NdSmTm2Th
Method: DFT, GGA-PBE
State: relaxed

Computed properties:
**Formation energy**: 0.30 eV per atom
**Total energy**: -0.358 Ry/atom

Geometry as extended XYZ:
```
10
Lattice="-3.6441 -1.6456 3.9708 5.6501 -6.0144 2.6928 2.8127 4.6737 4.5182" Properties=species:S:1:pos:R:3 pbc="T T T"
Tm 3.4210 -2.5738 6.0738
Tm 1.3977 -0.4125 5.1080
Tm 4.8295 -0.2360 8.3306
Tm -0.0108 -2.7503 2.8512
Th -1.1190 0.3456 3.1150
Th 0.2875 2.6825 5.3740
Sm 1.2905 -1.1475 8.7058
Sm 3.5282 -1.8388 2.4760
Nd 1.4064 2.3368 2.2591
Nd 0.0000 0.0000 0.0000
```

***

Record 10
Material: CsSnTe3
Method: DFT, GGA-PBE
State: relaxed

Computed properties:
**Raw formation energy**: -22.0 kJ per mole of atoms
**Total energy**: -0.227 Ry/atom

Geometry as extended XYZ:
```
5
Lattice="5.8920 0.0000 0.0000 0.0000 5.8920 0.0000 0.0000 0.0000 5.8920" Properties=species:S:1:pos:R:3 pbc="T T T"
Te 2.9460 0.0000 0.0000
Te 0.0000 0.0000 2.9460
Te 0.0000 2.9460 0.0000
Cs 2.9460 2.9460 2.9460
Sn 0.0000 0.0000 0.0000
```

***

Number 1: calculated volume 490.9 Å³/f.u.. Number 2: calculated volume 389.3 Å³/f.u.. Number 3: calculated volume 120.2 Å³/f.u.. Number 4: calculated volume 52.7 Å³/f.u.. Number 5: calculated volume 187.3 Å³/f.u.. Number 6: calculated volume 156.5 Å³/f.u.. Number 7: calculated volume 47.3 Å³/f.u.. Number 8: calculated volume 99.9 Å³/f.u.. Number 9: calculated volume 173.2 Å³/f.u.. Number 10: calculated volume 204.5 Å³/f.u..